(1)
Entry from Alexandria via LeMat-Bulk: a relaxed Al2CuSi crystal (PBE).

a = 2.7579 Å, b = 3.7629 Å, c = 5.5417 Å
α = 90.00°, β = 90.36°, γ = 90.00°
Sites, in units of the cell vectors:
Al 0.0000 0.0000 0.2436
Al 0.0000 0.0000 0.7564
Cu 0.5000 0.5000 0.0000
Si 0.5000 0.5000 0.5000

As for the crystal system: monoclinic. The space group is P2/m (10). Its raw formation energy is 0.050 eV/atom.

---

(2)
Entry from Alexandria via LeMat-Bulk: a relaxed NdSmYCd crystal (PBE).

a = 3.6717 Å, b = 3.6717 Å, c = 9.0847 Å
α = 90.00°, β = 90.00°, γ = 90.00°
Sites, in units of the cell vectors:
Nd 0.0000 0.0000 0.0000
Sm 0.5000 0.5000 0.7205
Y 0.5000 0.5000 0.2773
Cd 0.0000 0.0000 0.4920

As for the crystal system: tetragonal. As for the energy relative to the elements: -0.63 eV per formula unit. The space group is P4mm (99).

---

(3)
Entry from Alexandria via LeMat-Bulk: a relaxed AgSn2Pd2 crystal (PBE).

a = 7.1428 Å, b = 7.1428 Å, c = 7.1428 Å
α = 147.40°, β = 147.40°, γ = 46.77°
Sites, in units of the cell vectors:
Ag 0.0000 0.0000 0.0000
Sn 0.3893 0.3893 0.0000
Sn 0.6107 0.6107 0.0000
Pd 0.2500 0.7500 0.5000
Pd 0.7500 0.2500 0.5000

As for the crystal system: tetragonal. As for the energy relative to the elements: -0.70 eV per formula unit. The space group is I4/mmm (139).

---

(4)
Entry from Alexandria via LeMat-Bulk: a relaxed TbTiIr4 crystal (PBE).

a = 5.2632 Å, b = 5.2632 Å, c = 5.2632 Å
α = 60.00°, β = 60.00°, γ = 60.00°
Sites, in units of the cell vectors:
Tb 0.0000 0.0000 0.0000
Ti 0.2500 0.2500 0.2500
Ir 0.1253 0.6249 0.6249
Ir 0.6249 0.1253 0.6249
Ir 0.6249 0.6249 0.1253
Ir 0.6249 0.6249 0.6249

As for the crystal system: cubic. As for the energy relative to the elements: -3.32 eV per formula unit. The space group is F-43m (216).

---

(5)
Entry from Alexandria via LeMat-Bulk: a relaxed Na2LiIr crystal (PBE).

a = 10.4975 Å, b = 10.4975 Å, c = 10.4975 Å
α = 158.99°, β = 158.99°, γ = 29.88°
Sites, in units of the cell vectors:
Na 0.1248 0.6250 0.9998
Na 0.3750 0.3748 0.4998
Na 0.6252 0.1250 0.0002
Na 0.8750 0.8752 0.5002
Li 0.0000 0.0000 0.0000
Li 0.7500 0.2500 0.5000
Ir 0.2500 0.7500 0.5000
Ir 0.5000 0.5000 0.0000

As for the crystal system: tetragonal. As for the energy relative to the elements: 2.24 eV per formula unit. The space group is I-42d (122).

---

(6)
Entry from Alexandria via LeMat-Bulk: a relaxed BaTl2CdBi2 crystal (PBE).

a = 5.1165 Å, b = 10.0538 Å, c = 8.3485 Å
α = 90.00°, β = 90.00°, γ = 90.00°
Sites, in units of the cell vectors:
Ba 0.0000 0.0585 0.0000
Ba 0.0000 0.9415 0.5000
Tl 0.0000 0.3402 0.3435
Tl 0.0000 0.6598 0.8435
Tl 0.5000 0.4113 0.0204
Tl 0.5000 0.5887 0.5204
Cd 0.5000 0.1770 0.6609
Cd 0.5000 0.8230 0.1609
Bi 0.0000 0.3340 0.7330
Bi 0.0000 0.6660 0.2330
Bi 0.5000 0.1234 0.2844
Bi 0.5000 0.8766 0.7844

As for the crystal system: orthorhombic. As for the energy relative to the elements: -1.96 eV per formula unit. The space group is Pmc2_1 (26).

---

(7)
Entry from Alexandria via LeMat-Bulk: a relaxed MnTeMo2Ir crystal (PBE).

a = 4.7538 Å, b = 4.7538 Å, c = 5.1683 Å
α = 90.00°, β = 90.00°, γ = 90.00°
Sites, in units of the cell vectors:
Mn 0.0000 0.0000 0.0000
Te 0.5000 0.5000 0.0000
Mo 0.0000 0.5000 0.5000
Mo 0.5000 0.0000 0.5000
Ir 0.5000 0.5000 0.5000

As for the crystal system: tetragonal. The space group is P4/mmm (123). Its raw formation energy is 1.995 eV/atom.

---

(8)
Entry from Alexandria via LeMat-Bulk: a relaxed Ta2InRe crystal (PBE).

a = 5.3182 Å, b = 5.3182 Å, c = 2.8472 Å
α = 97.12°, β = 97.12°, γ = 114.78°
Sites, in units of the cell vectors:
Ta 0.0000 0.5000 0.0000
Ta 0.5000 0.0000 0.0000
In 0.0000 0.0000 0.5000
Re 0.5000 0.5000 0.5000

As for the crystal system: monoclinic. As for the energy relative to the elements: 0.71 eV per formula unit. The space group is C2/m (12).

---

Number 1: total DFT energy (no corrections) -16.81 eV per cell, magnetization 0.00 μB/f.u., D(E_F) 0.247 states/eV per atom. Number 2: total DFT energy (no corrections) -17.50 eV per cell, magnetization 0.00 μB/f.u., D(E_F) 1.055 states/eV per atom. Number 3: total DFT energy (no corrections) -21.94 eV per cell, magnetization 0.00 μB/f.u., D(E_F) 0.406 states/eV per atom. Number 4: total DFT energy (no corrections) -51.29 eV per cell, magnetization 0.00 μB/f.u., D(E_F) 0.683 states/eV per atom. Number 5: total DFT energy (no corrections) -22.35 eV per cell, magnetization 0.00 μB/f.u., D(E_F) 0.312 states/eV per atom. Number 6: total DFT energy (no corrections) -34.59 eV per cell, magnetization 0.00 μB/f.u., D(E_F) 0.427 states/eV per atom. Number 7: total DFT energy (no corrections) -32.86 eV per cell, magnetization 1.79 μB/f.u., D(E_F) 1.639 states/eV per atom. Number 8: total DFT energy (no corrections) -38.18 eV per cell, magnetization 0.00 μB/f.u., D(E_F) 0.615 states/eV per atom.